Record 1
Density functional theory data (PBE-GGA) for a relaxed RbZnHgBr2 crystal.

Structure (POSCAR):
```
RbZnHgBr2
1.0
5.745 0.000 0.000
0.000 5.745 0.000
0.000 0.000 5.186
Zn Br Hg Rb
1 2 1 1
direct
0.000 0.000 0.000 Zn
0.000 0.500 0.000 Br
0.500 0.000 0.000 Br
0.000 0.000 0.500 Hg
0.500 0.500 0.500 Rb
```

Values from the calculation:
- Symmetry: P4/mmm (123)
- Energy relative to the elements, uncorrected: -0.79 eV/atom
- Mass density: 4960 kg/m3

=====

Record 2
Density functional theory data (PBE-GGA) for a relaxed Rb2ZrHg2Br6 crystal.

Structure (POSCAR):
```
Rb2ZrHg2Br6
1.0
8.372 -0.089 -0.048
-4.215 7.234 -0.048
-1.618 -2.781 8.764
Rb Br Hg Zr
2 6 2 1
direct
0.668 0.332 0.500 Rb
0.332 0.668 0.500 Rb
0.928 0.670 0.322 Br
0.330 0.072 0.678 Br
0.670 0.928 0.322 Br
0.072 0.330 0.678 Br
0.192 0.192 0.323 Br
0.808 0.808 0.677 Br
0.800 0.200 0.000 Hg
0.200 0.800 0.000 Hg
0.000 0.000 0.500 Zr
```

Values from the calculation:
- Symmetry: C2/m (12)
- Energy relative to the elements, uncorrected: -1.27 eV/atom
- Mass density: 3613 kg/m3

=====

Record 3
Density functional theory data (PBE-GGA) for a relaxed ReHg2Br crystal.

Structure (POSCAR):
```
ReHg2Br
1.0
3.126 0.000 0.000
0.000 3.126 0.000
0.000 0.000 8.984
Hg Br Re
2 1 1
direct
0.000 0.000 0.459 Hg
0.000 0.000 0.041 Hg
0.500 0.500 0.750 Br
0.500 0.500 0.250 Re
```

Values from the calculation:
- Symmetry: P4/mmm (123)
- Energy relative to the elements, uncorrected: 0.85 eV/atom
- Mass density: 12624 kg/m3
- Energy relative to the lowest polymorph listed for this composition: 289 meV/atom

=====

Record 4
Density functional theory data (PBE-GGA) for a relaxed Re2HgBr crystal.

Structure (POSCAR):
```
Re2HgBr
1.0
-1.124 -1.075 -2.483
2.612 -0.855 1.016
-4.317 -7.172 5.060
Re Br Hg
2 1 1
direct
0.000 0.000 0.493 Re
0.000 0.000 0.007 Re
0.500 0.500 0.250 Br
0.500 0.500 0.750 Hg
```

Values from the calculation:
- Symmetry: Cmmm (65)
- Energy relative to the elements, uncorrected: 1.29 eV/atom
- Mass density: 15214 kg/m3
- Energy relative to the lowest polymorph listed for this composition: 571 meV/atom

=====

Record 5
Density functional theory data (PBE-GGA) for a relaxed Re2HgBr crystal.

Structure (POSCAR):
```
Re2HgBr
1.0
-0.584 1.179 2.547
-2.074 -1.416 -1.382
3.024 -9.315 5.006
Re Hg Br
2 1 1
direct
0.500 0.500 0.225 Re
0.000 0.000 0.036 Re
0.500 0.500 0.784 Hg
0.000 0.000 0.455 Br
```

Values from the calculation:
- Symmetry: Cmm2 (35)
- Energy relative to the elements, uncorrected: 0.72 eV/atom
- Mass density: 13712 kg/m3
- Energy relative to the lowest polymorph listed for this composition: 0 meV/atom

=====

Record 6
Density functional theory data (PBE-GGA) for a relaxed Re2HgBr crystal.

Structure (POSCAR):
```
Re2HgBr
1.0
-0.028 -4.512 1.083
4.605 -0.160 -0.551
0.392 0.732 3.060
Re Br Hg
2 1 1
direct
0.500 0.500 0.000 Re
0.000 0.000 0.000 Re
0.500 0.000 0.500 Br
0.000 0.500 0.500 Hg
```

Values from the calculation:
- Symmetry: P4/mmm (123)
- Energy relative to the elements, uncorrected: 1.62 eV/atom
- Mass density: 15878 kg/m3
- Energy relative to the lowest polymorph listed for this composition: 894 meV/atom

=====

Record 7
Density functional theory data (PBE-GGA) for a relaxed Re2HgBr crystal.

Structure (POSCAR):
```
Re2HgBr
1.0
-1.734 -3.594 2.261
-4.219 -1.508 -0.980
-0.559 -4.011 -2.153
Hg Re Br
1 2 1
direct
0.500 0.500 0.500 Hg
0.750 0.750 0.750 Re
0.250 0.250 0.250 Re
0.000 0.000 0.000 Br
```

Values from the calculation:
- Symmetry: Fm-3m (225)
- Energy relative to the elements, uncorrected: 1.66 eV/atom
- Mass density: 15891 kg/m3
- Energy relative to the lowest polymorph listed for this composition: 933 meV/atom

=====

Record 8
Density functional theory data (PBE-GGA) for a relaxed ReHg3Br crystal.

Structure (POSCAR):
```
ReHg3Br
1.0
-0.809 -5.381 -0.096
2.605 -0.476 4.755
-4.710 0.661 2.646
Hg Br Re
3 1 1
direct
0.000 0.500 0.000 Hg
0.500 0.000 0.000 Hg
0.000 0.000 0.500 Hg
0.500 0.500 0.500 Br
0.000 0.000 0.000 Re
```

Values from the calculation:
- Symmetry: Pm-3m (221)
- Energy relative to the elements, uncorrected: 0.74 eV/atom
- Mass density: 8939 kg/m3
- Energy relative to the lowest polymorph listed for this composition: 0 meV/atom

=====

Record 9
Density functional theory data (PBE-GGA) for a relaxed ReHgBr crystal.

Structure (POSCAR):
```
ReHgBr
1.0
-3.088 3.857 -5.048
-6.024 3.145 -1.928
5.184 -1.682 4.494
Re Hg Br
1 1 1
direct
0.652 0.652 0.000 Re
0.305 0.305 0.000 Hg
0.043 0.043 0.000 Br
```

Values from the calculation:
- Symmetry: I4mm (107)
- Energy relative to the elements, uncorrected: 1.00 eV/atom
- Mass density: 12224 kg/m3
- Energy relative to the lowest polymorph listed for this composition: 206 meV/atom

=====

Record 10
Density functional theory data (PBE-GGA) for a relaxed ReHg2Br crystal.

Structure (POSCAR):
```
ReHg2Br
1.0
5.143 0.000 0.000
0.000 5.143 0.000
2.572 2.572 9.323
Re Br Hg
2 2 4
direct
0.000 0.000 0.000 Re
0.750 0.250 0.500 Re
0.250 0.750 0.500 Br
0.500 0.500 0.000 Br
0.028 0.625 0.250 Hg
0.875 0.972 0.750 Hg
0.375 0.278 0.750 Hg
0.722 0.125 0.250 Hg
```

Values from the calculation:
- Symmetry: I-42d (122)
- Energy relative to the elements, uncorrected: 1.16 eV/atom
- Mass density: 8986 kg/m3
- Energy relative to the lowest polymorph listed for this composition: 599 meV/atom

=====

Record 11
Density functional theory data (PBE-GGA) for a relaxed Re2HgBr crystal.

Structure (POSCAR):
```
Re2HgBr
1.0
5.649 0.001 0.095
4.905 2.802 0.095
2.317 0.616 4.875
Re Br Hg
2 1 1
direct
0.734 0.734 0.813 Re
0.028 0.028 0.867 Re
0.464 0.464 0.554 Br
0.274 0.274 0.266 Hg
```

Values from the calculation:
- Symmetry: Cm (8)
- Energy relative to the elements, uncorrected: 1.05 eV/atom
- Mass density: 14177 kg/m3
- Energy relative to the lowest polymorph listed for this composition: 327 meV/atom

=====

Record 12
Density functional theory data (PBE-GGA) for a relaxed ReHgBr4 crystal.

Structure (POSCAR):
```
ReHgBr4
1.0
0.000 4.488 4.488
4.488 0.000 4.488
4.488 4.488 0.000
Hg Br Re
1 4 1
direct
0.750 0.750 0.750 Hg
0.374 0.877 0.374 Br
0.374 0.374 0.877 Br
0.374 0.374 0.374 Br
0.877 0.374 0.374 Br
0.000 0.000 0.000 Re
```

Values from the calculation:
- Symmetry: F-43m (216)
- Energy relative to the elements, uncorrected: 1.32 eV/atom
- Mass density: 6488 kg/m3

=====

> Which value of mass density does entry 8 give?

8939 kg/m3

=====

> What is the formula in the tenth record?

ReHg2Br

=====

> What is the mass density in the sixth record?

15878 kg/m3